[1]
A plane-wave DFT calculation with PBE was carried out for an optimized crystal structure of CoIr2Pt.

Calculated values
- Crystal system: tetragonal
- Energy above the lowest structure with this stoichiometry: 0.048 eV per atom
- DFT formation energy: 0.053 eV per atom

a = 2.7164 Å, b = 2.7164 Å, c = 7.5354 Å
α = 90.00°, β = 90.00°, γ = 90.00°
Positions (direct):
Ir 0.0000 0.0000 0.9803
Pt 0.5000 0.5000 0.2500
Ir 0.0000 0.0000 0.5197
Co 0.5000 0.5000 0.7500

[2]
A plane-wave DFT calculation with PBE was carried out for an optimized crystal structure of RuBr2Cl8.

Calculated values
- Formation energy without anion corrections: -0.197 eV/atom
- Crystal system: triclinic

a = 6.4253 Å, b = 8.9474 Å, c = 9.8612 Å
α = 107.01°, β = 93.61°, γ = 132.30°
Positions (direct):
Cl 0.9747 0.2171 0.9911
Br 0.8205 0.4168 0.6182
Cl 0.6586 0.3311 0.1842
Br 0.1795 0.5832 0.3818
Cl 0.3604 0.0479 0.8102
Cl 0.3414 0.6689 0.8158
Ru 0.5000 0.0000 0.0000
Cl 0.6448 0.8141 0.5459
Cl 0.0253 0.7829 0.0089
Cl 0.3552 0.1859 0.4541
Cl 0.6396 0.9521 0.1898

[3]
A plane-wave DFT calculation with PBE was carried out for an optimized crystal structure of Li2Nb3O8.

Calculated values
- Formation energy without anion corrections: -2.369 eV/atom
- Crystal system: monoclinic

a = 5.2707 Å, b = 5.9919 Å, c = 5.9919 Å
α = 62.09°, β = 80.24°, γ = 80.24°
Positions (direct):
O 0.3862 0.3900 0.3900
O 0.6138 0.6100 0.6100
O 0.1418 0.8862 0.3366
O 0.8582 0.6634 0.1138
Nb 0.5000 0.7329 0.2671
Li 0.0827 0.2947 0.2947
Li 0.9173 0.7053 0.7053
Nb 0.5000 0.2671 0.7329
O 0.8582 0.1138 0.6634
Nb 0.0000 0.0000 0.0000
O 0.6342 0.1044 0.1044
O 0.3658 0.8956 0.8956
O 0.1418 0.3366 0.8862

[4]
A plane-wave DFT calculation with PBE was carried out for an optimized crystal structure of Sm7Er12Th.

Calculated values
- Crystal system: cubic
- Energy above the lowest structure with this stoichiometry: 0.467 eV per atom
- DFT formation energy: 0.706 eV per atom

a = 9.7069 Å, b = 9.7069 Å, c = 9.7069 Å
α = 109.47°, β = 109.47°, γ = 109.47°
Positions (direct):
Er 0.0009 0.2443 0.7565
Er 0.2435 0.9991 0.7557
Er 0.2443 0.2435 0.4878
Er 0.2435 0.4878 0.2443
Sm 0.0000 0.5000 0.0000
Sm 0.5000 0.0000 0.0000
Sm 0.5000 0.5000 0.0000
Sm 0.0000 0.0000 0.5000
Th 0.0000 0.0000 0.0000
Er 0.7557 0.7565 0.5122
Er 0.7565 0.0009 0.2443
Er 0.4878 0.2443 0.2435
Er 0.5122 0.7557 0.7565
Er 0.2443 0.7565 0.0009
Er 0.9991 0.7557 0.2435
Sm 0.5000 0.0000 0.5000
Er 0.7565 0.5122 0.7557
Er 0.7557 0.2435 0.9991
Sm 0.5000 0.5000 0.5000
Sm 0.0000 0.5000 0.5000

[5]
A plane-wave DFT calculation with PBE was carried out for an optimized crystal structure of CdB2I.

Calculated values
- Formation energy without anion corrections: 1.455 eV/atom
- Crystal system: tetragonal
- Energy above the lowest structure with this stoichiometry: 0.000 eV per atom

a = 5.5177 Å, b = 5.5177 Å, c = 6.6221 Å
α = 65.38°, β = 65.38°, γ = 90.00°
Positions (direct):
B 0.3750 0.3892 0.7500
I 0.7500 0.2500 0.5000
B 0.1392 0.6250 0.2500
I 0.0000 0.0000 0.0000
Cd 0.2500 0.7500 0.5000
B 0.6108 0.1250 0.2500
B 0.8750 0.8608 0.7500
Cd 0.5000 0.5000 0.0000

[6]
A plane-wave DFT calculation with PBE was carried out for an optimized crystal structure of KU2Te6Au2.

Calculated values
- Formation energy without anion corrections: -0.474 eV/atom
- Crystal system: triclinic

a = 8.0083 Å, b = 8.6236 Å, c = 8.6306 Å
α = 123.69°, β = 91.05°, γ = 59.96°
Positions (direct):
Au 0.8020 0.2526 0.1795
Te 0.0175 0.5460 0.8034
Te 0.4145 0.7994 0.0634
U 0.1612 0.6716 0.1582
Te 0.2158 0.8241 0.5597
K 0.5000 0.0000 0.5000
Te 0.9825 0.4540 0.1966
Te 0.7842 0.1759 0.4403
Au 0.1980 0.7474 0.8205
U 0.8388 0.3284 0.8418
Te 0.5855 0.2006 0.9366

The records above yield volume values of 56, 373, 164, 704, 163, 401 Å³ per cell, respectively.